VASP calculation (PBE-GGA) on LuZnFeSn after structural relaxation.

```
LuZnFeSn
1.0
0.000 3.303 3.303
3.303 0.000 3.303
3.303 3.303 0.000
Lu Zn Fe Sn
1 1 1 1
Direct
0.000 0.000 0.000 Lu
0.250 0.250 0.250 Zn
0.750 0.750 0.750 Fe
0.500 0.500 0.500 Sn
```

space group = No. 216


VASP calculation (PBE-GGA) on LuZrFeSn after structural relaxation.

```
LuZrFeSn
1.0
0.000 3.404 3.404
3.404 0.000 3.404
3.404 3.404 0.000
Lu Zr Fe Sn
1 1 1 1
Direct
0.000 0.000 0.000 Lu
0.750 0.750 0.750 Zr
0.500 0.500 0.500 Fe
0.250 0.250 0.250 Sn
```

space group = No. 216


VASP calculation (PBE-GGA) on SrLu2Fe after structural relaxation.

```
SrLu2Fe
1.0
0.000 3.678 3.678
3.678 0.000 3.678
3.678 3.678 0.000
Sr Lu Fe
1 2 1
Direct
0.000 0.000 0.000 Sr
0.500 0.500 0.500 Lu
0.750 0.750 0.750 Lu
0.250 0.250 0.250 Fe
```

space group = No. 216


VASP calculation (PBE-GGA) on LuTaFe after structural relaxation.

```
LuTaFe
1.0
0.000 3.105 3.105
3.105 0.000 3.105
3.105 3.105 0.000
Lu Ta Fe
1 1 1
Direct
0.000 0.000 0.000 Lu
0.750 0.750 0.750 Ta
0.500 0.500 0.500 Fe
```

space group = No. 216


VASP calculation (PBE-GGA) on LuFeTc2 after structural relaxation.

```
LuFeTc2
1.0
0.000 3.154 3.154
3.154 0.000 3.154
3.154 3.154 0.000
Lu Fe Tc
1 1 2
Direct
0.000 0.000 0.000 Lu
0.750 0.750 0.750 Fe
0.250 0.250 0.250 Tc
0.500 0.500 0.500 Tc
```

space group = No. 216


VASP calculation (PBE-GGA) on LuFe2Tc after structural relaxation.

```
LuFe2Tc
1.0
0.000 3.092 3.092
3.092 0.000 3.092
3.092 3.092 0.000
Lu Fe Tc
1 2 1
Direct
0.000 0.000 0.000 Lu
0.250 0.250 0.250 Fe
0.500 0.500 0.500 Fe
0.750 0.750 0.750 Tc
```

space group = No. 216


VASP calculation (PBE-GGA) on LuFeTc2 after structural relaxation.

```
LuFeTc2
1.0
0.000 3.154 3.154
3.154 0.000 3.154
3.154 3.154 0.000
Lu Fe Tc
1 1 2
Direct
0.000 0.000 0.000 Lu
0.250 0.250 0.250 Fe
0.500 0.500 0.500 Tc
0.750 0.750 0.750 Tc
```

space group = No. 216


VASP calculation (PBE-GGA) on LuZnFeTc after structural relaxation.

```
LuZnFeTc
1.0
0.000 3.202 3.202
3.202 0.000 3.202
3.202 3.202 0.000
Lu Zn Fe Tc
1 1 1 1
Direct
0.000 0.000 0.000 Lu
0.250 0.250 0.250 Zn
0.500 0.500 0.500 Fe
0.750 0.750 0.750 Tc
```

space group = No. 216


VASP calculation (PBE-GGA) on LuZnFeTc after structural relaxation.

```
LuZnFeTc
1.0
0.000 3.181 3.181
3.181 0.000 3.181
3.181 3.181 0.000
Lu Zn Fe Tc
1 1 1 1
Direct
0.000 0.000 0.000 Lu
0.500 0.500 0.500 Zn
0.750 0.750 0.750 Fe
0.250 0.250 0.250 Tc
```

space group = No. 216


VASP calculation (PBE-GGA) on Tm4Lu3Fe2Te2 after structural relaxation.

```
Tm4Lu3Fe2Te2
1.0
-1.908 7.691 4.616
1.908 -7.691 4.616
1.908 7.691 -4.616
Tm Lu Fe Te
4 3 2 2
Direct
0.137 0.000 0.137 Tm
0.202 0.851 0.351 Tm
0.500 0.851 0.649 Tm
0.863 0.000 0.863 Tm
0.521 0.208 0.313 Lu
0.581 0.581 0.000 Lu
0.896 0.208 0.687 Lu
0.280 0.514 0.766 Fe
0.749 0.514 0.234 Fe
0.244 0.244 0.000 Te
0.847 0.347 0.500 Te
```

space group = No. 44


VASP calculation (PBE-GGA) on TmLu6Fe2Te2 after structural relaxation.

```
TmLu6Fe2Te2
1.0
-1.903 7.678 4.599
1.903 -7.678 4.599
1.903 7.678 -4.599
Tm Lu Fe Te
1 6 2 2
Direct
0.000 0.000 0.000 Tm
0.059 0.371 0.688 Lu
0.081 0.730 0.350 Lu
0.380 0.730 0.650 Lu
0.443 0.580 0.863 Lu
0.683 0.371 0.312 Lu
0.718 0.580 0.137 Lu
0.302 0.067 0.235 Fe
0.832 0.067 0.765 Fe
0.337 0.337 0.000 Te
0.731 0.231 0.500 Te
```

space group = No. 44


VASP calculation (PBE-GGA) on YTm4Lu2Fe2Te2 after structural relaxation.

```
YTm4Lu2Fe2Te2
1.0
-1.922 7.772 4.603
1.922 -7.772 4.603
1.922 7.772 -4.603
Y Tm Lu Fe Te
1 4 2 2 2
Direct
0.000 0.000 0.000 Y
0.280 0.417 0.863 Tm
0.554 0.417 0.137 Tm
0.613 0.264 0.348 Tm
0.916 0.264 0.652 Tm
0.313 0.626 0.687 Lu
0.938 0.626 0.313 Lu
0.169 0.932 0.237 Fe
0.695 0.932 0.763 Fe
0.267 0.767 0.500 Te
0.663 0.663 0.000 Te
```

space group = No. 44


Listing calculated total energy for the structures above in their given order: -4.586; -6.285; -4.108; -7.267; -8.304; -7.629; -8.304; -5.935; -5.889; -5.434; -5.452; -5.629 eV per atom.